No. 1
VASP calculation (PBE) on an optimized crystal structure of Mg2ZnAg8.

The structure in extended XYZ format:
```
11
Lattice="-2.529 3.732 0.543 -2.378 -2.514 6.213 7.188 2.161 -0.447" Properties=species:S:1:pos:R:3 pbc="T T T"
Ag -0.663 3.237 0.523
Ag 1.835 4.948 0.414
Ag 0.004 0.699 2.062
Ag 5.038 1.255 2.679
Ag 1.472 1.323 4.636
Ag 0.127 3.370 3.279
Ag 4.466 3.853 1.140
Ag -0.718 -0.292 5.547
Zn 4.106 0.271 5.110
Mg 2.397 2.320 2.038
Mg -1.998 1.804 4.213
```

No. 2
VASP calculation (PBE) on an optimized crystal structure of Mg2ZnAg.

The structure in extended XYZ format:
```
4
Lattice="-0.439 1.926 4.770 2.069 -3.212 3.472 1.775 1.983 -4.424" Properties=species:S:1:pos:R:3 pbc="T T T"
Mg 2.329 -0.936 1.585
Mg 0.000 0.000 0.000
Zn 0.815 -0.643 4.121
Ag 1.075 1.634 2.233
```

No. 3
VASP calculation (PBE) on an optimized crystal structure of Mg5ZnAg.

The structure in extended XYZ format:
```
14
Lattice="7.436 0.156 0.305 2.507 7.002 0.305 3.914 2.818 7.874" Properties=species:S:1:pos:R:3 pbc="T T T"
Ag 0.000 0.000 0.000
Ag 1.957 1.409 3.937
Mg 5.467 4.712 6.805
Mg 7.951 3.838 4.645
Mg 9.652 5.062 7.777
Mg 4.205 4.913 0.708
Mg 7.714 1.833 2.274
Mg 8.389 5.264 1.680
Mg 9.610 7.695 5.616
Mg 4.246 2.281 2.868
Mg 6.142 8.143 6.211
Mg 5.906 6.138 3.840
Zn 7.695 5.986 6.211
Zn 6.161 3.990 2.274
```

Number 1: spin magnetization 0.000 μB per cell, energy -2.5336 eV/atom, ΔE_f -0.597 eV per formula unit. Number 2: spin magnetization 0.000 μB per cell, energy -1.9258 eV/atom, ΔE_f -0.389 eV per formula unit. Number 3: spin magnetization 0.000 μB per cell, energy -1.5095 eV/atom, ΔE_f 1.532 eV per formula unit.